# 1
A geometry-optimized La2SiPt structure. Source: the Alexandria database, functional GGA-PBE.

Geometry as POSCAR:
```
La2SiPt
1.0
3.3835 0.0059 0.0000
-0.0060 3.3835 0.0000
0.0000 0.0000 8.8037
La Pt Si
2 1 1
Cartesian
0.0000 0.0000 8.1577
1.6887 1.6947 2.8531
0.0000 0.0000 4.9777
1.6887 1.6947 6.0207
```

Properties
Its density is 8.3 g/cm³. The crystal system is tetragonal.

=====

# 2
A geometry-optimized Nd12Tl4HgO3 structure. Source: the Alexandria database, functional GGA-PBE.

Geometry as POSCAR:
```
Nd12Tl4HgO3
1.0
-8.6024 -0.2965 2.6067
5.0400 -4.7338 5.7510
2.8052 8.5441 -0.1137
Hg O Nd Tl
1 3 12 4
Cartesian
0.0000 0.0000 0.0000
-2.8986 4.1238 1.2465
3.9226 1.9052 2.8186
-1.7812 -2.5151 4.1789
2.1442 1.0414 1.5407
-0.9736 -1.3748 2.2842
2.4733 3.9671 3.4419
-0.9373 5.0764 2.6558
-3.7892 2.8662 3.3359
-1.5844 2.2542 0.6814
-2.5887 -3.6554 6.0735
5.7010 2.7690 4.0966
-3.2305 -0.4532 4.8021
0.1801 -1.5625 5.5882
3.0320 0.6476 4.9081
-4.2127 5.9935 1.8116
1.4026 4.2721 -0.0569
-4.3012 -0.1483 1.3034
2.5200 -2.3669 2.8755
-0.3786 1.7569 4.1220
```

Properties
Its density is 8.3 g/cm³. The crystal system is cubic.

=====

| no. | raw total energy (eV/atom) |
| --- | --- |
| 1 | -5.79 |
| 2 | -5.01 |